# 1
# BaTmInSe4 | Alexandria via LeMat-Bulk | PBE | optimized geometry
data_BaTmInSe4
_chemical_formula_sum 'Ba2 Tm2 In2 Se8'
_symmetry_space_group_name_H-M 'P 1 21/m 1'
_symmetry_Int_Tables_number 11
_cell_length_a 7.056
_cell_length_b 7.275
_cell_length_c 8.786
_cell_angle_alpha 90.00
_cell_angle_beta 106.94
_cell_angle_gamma 90.00
loop_
_symmetry_equiv_pos_as_xyz
'x,y,z'
'-x,-y,-z'
'-x,y+1/2,-z'
'x,-y+1/2,z'
loop_
_atom_site_label
_atom_site_fract_x
_atom_site_fract_y
_atom_site_fract_z
Ba1 0.230 0.250 0.049
Tm1 0.212 0.250 0.554
In1 0.244 0.750 0.335
Se1 0.020 0.514 0.713
Se2 0.458 0.750 0.145
Se3 0.498 0.750 0.606
# VASP energy	-65.2	eV for the cell shown
# E_form (uncorrected)	-1.358	eV per atom
# size of the total moment	0.00	μB per formula unit

# 2
# BaInW2Se | Alexandria via LeMat-Bulk | PBE | optimized geometry
data_BaInW2Se
_chemical_formula_sum 'Ba1 In1 W2 Se1'
_symmetry_space_group_name_H-M 'P 4/m m m'
_symmetry_Int_Tables_number 123
_symmetry_space_group_name_Hall '-P 4 2'
_cell_length_a 5.659
_cell_length_b 5.659
_cell_length_c 5.962
_cell_angle_alpha 90.00
_cell_angle_beta 90.00
_cell_angle_gamma 90.00
loop_
_atom_site_label
_atom_site_fract_x
_atom_site_fract_y
_atom_site_fract_z
Ba1 0.000 0.000 0.000
In1 0.500 0.500 0.500
W1 0.000 0.500 0.000
Se1 0.000 0.000 0.500
# VASP energy	-20.2	eV for the cell shown
# E_form (uncorrected)	2.768	eV per atom
# size of the total moment	7.60	μB per formula unit

# 3
# BaYInSe4 | Alexandria via LeMat-Bulk | PBE | optimized geometry
data_BaYInSe4
_chemical_formula_sum 'Ba2 Y2 In2 Se8'
_symmetry_space_group_name_H-M 'P 1 21/m 1'
_symmetry_Int_Tables_number 11
_cell_length_a 7.088
_cell_length_b 7.272
_cell_length_c 8.808
_cell_angle_alpha 90.00
_cell_angle_beta 106.97
_cell_angle_gamma 90.00
loop_
_symmetry_equiv_pos_as_xyz
'x,y,z'
'-x,-y,-z'
'-x,y+1/2,-z'
'x,-y+1/2,z'
loop_
_atom_site_label
_atom_site_fract_x
_atom_site_fract_y
_atom_site_fract_z
Ba1 0.232 0.250 0.051
Y1 0.216 0.250 0.555
In1 0.242 0.750 0.332
Se1 0.019 0.514 0.717
Se2 0.454 0.750 0.141
Se3 0.489 0.750 0.606
# VASP energy	-69.5	eV for the cell shown
# E_form (uncorrected)	-1.384	eV per atom
# size of the total moment	0.00	μB per formula unit